No. 1
Density functional theory data (PBE-GGA) for crystalline Tb2Cu7 at its relaxed geometry.

Results
raw total energy	-39.656	eV/f.u.
space group	No. 166

The structure in extended XYZ format:
```
18
Lattice="5.1340 0.0000 0.0000 2.5670 4.4462 0.0000 2.5670 1.4821 12.3925" Properties=species:S:1:pos:R:3 pbc="T T T"
Tb 7.7010 4.4462 5.4881
Tb 2.5670 1.4821 10.5169
Tb 7.7010 4.4462 1.8756
Tb 2.5670 1.4821 6.9045
Cu 3.8505 2.2231 0.0000
Cu 6.4234 3.7085 8.3218
Cu 2.5670 0.0000 0.0000
Cu 5.1340 4.4530 4.0707
Cu 3.8447 3.7085 8.3218
Cu 5.1340 2.9641 2.0354
Cu 5.1340 1.4753 8.3218
Cu 1.2835 2.2231 0.0000
Cu 5.1340 2.9641 6.1963
Cu 6.4234 2.2197 4.0707
Cu 2.5670 1.4821 2.0457
Cu 3.8447 2.2197 4.0707
Cu 5.1340 2.9641 10.3572
Cu 7.7010 4.4462 10.3468
```

=====

No. 2
Density functional theory data (PBE-GGA) for crystalline Tb6Cu5 at its relaxed geometry.

Results
raw total energy	-50.046	eV/f.u.
space group	No. 71

The structure in extended XYZ format:
```
11
Lattice="4.6933 0.0050 -1.4526 -0.8018 6.4047 -2.5687 0.0525 -0.3614 8.4767" Properties=species:S:1:pos:R:3 pbc="T T T"
Tb 2.1450 1.6138 -1.3726
Tb 3.4847 3.5087 2.9625
Tb 0.4594 2.5396 1.4929
Tb 1.7466 4.7959 -2.6488
Tb 3.8857 0.3056 4.2472
Tb 0.0583 5.7428 0.2082
Cu -0.4009 3.2024 -1.2843
Cu 3.0326 0.9786 1.4933
Cu 0.9114 5.0697 2.9621
Cu 1.3252 1.8856 4.2880
Cu 2.6189 4.1627 0.1674
```

=====

No. 3
Density functional theory data (PBE-GGA) for crystalline Tb5Cu2 at its relaxed geometry.

Results
raw total energy	-32.117	eV/f.u.
space group	No. 15

The structure in extended XYZ format:
```
14
Lattice="-3.2148 -2.4290 -5.2445 -3.2512 -4.4679 4.0623 -4.0462 7.1800 3.3249" Properties=species:S:1:pos:R:3 pbc="T T T"
Tb -5.2593 0.3521 3.5872
Tb -6.9906 -5.2394 -0.6957
Tb -6.4727 -1.9963 1.2486
Tb -4.0395 2.2795 0.8941
Tb -5.2529 -0.0690 -1.4445
Tb -2.8692 -1.1197 1.3447
Tb -3.5216 5.5225 2.8384
Tb -3.8665 -4.4299 0.7170
Tb -2.5996 -2.4670 -1.8993
Tb -7.6430 1.4029 0.7980
Cu -2.3784 0.3322 -1.1470
Cu -8.1338 -0.0490 3.2896
Cu -5.1830 3.1862 3.4204
Cu -5.3293 -2.9031 -1.2777
```

=====

No. 4
Density functional theory data (PBE-GGA) for crystalline Tb3Cu at its relaxed geometry.

Results
raw total energy	-17.547	eV/f.u.
space group	No. 25

The structure in extended XYZ format:
```
4
Lattice="-1.3665 3.2530 -0.7314 -0.2449 -0.8669 -3.3982 -8.4363 -3.2223 1.4300" Properties=species:S:1:pos:R:3 pbc="T T T"
Cu -8.3603 -3.1933 1.4171
Tb -6.9502 -0.7672 0.6966
Tb -4.0514 -1.9341 -1.0331
Tb -1.9341 0.7621 -1.8735
```

=====

No. 5
Density functional theory data (PBE-GGA) for crystalline Tb5Cu at its relaxed geometry.

Results
raw total energy	-26.610	eV/f.u.
space group	No. 65

The structure in extended XYZ format:
```
6
Lattice="4.8759 0.0000 0.0000 0.0000 4.6621 0.0000 0.0000 -2.3310 7.4318" Properties=species:S:1:pos:R:3 pbc="T T T"
Tb 2.4379 2.3310 0.0000
Tb 2.4379 2.3310 4.9273
Tb 2.4379 0.0000 2.5045
Tb 0.0000 0.0000 5.0813
Tb 0.0000 2.3310 2.3505
Cu 0.0000 0.0000 0.0000
```

=====

No. 6
Density functional theory data (PBE-GGA) for crystalline Tb5Cu6 at its relaxed geometry.

Results
raw total energy	-48.554	eV/f.u.
space group	No. 12

The structure in extended XYZ format:
```
11
Lattice="4.6091 0.0093 -1.4285 -0.8116 6.5373 -2.6240 0.0640 -0.4804 8.3774" Properties=species:S:1:pos:R:3 pbc="T T T"
Cu 0.1326 5.7068 0.4428
Cu 0.4913 2.8731 1.5780
Cu 3.7290 0.3595 3.8821
Cu 1.7323 4.5856 -2.5519
Cu 3.3702 3.1931 2.7469
Cu 2.0652 1.9610 -1.5006
Tb 2.5923 4.2602 0.2180
Tb -0.4058 3.2687 -1.3120
Tb 1.2692 1.8060 4.1069
Tb 1.0096 5.2827 3.2680
Tb 2.8519 0.7836 1.0570
```

=====

No. 7
Density functional theory data (PBE-GGA) for crystalline Tb3Cu at its relaxed geometry.

Results
raw total energy	-18.204	eV/f.u.
space group	No. 44

The structure in extended XYZ format:
```
4
Lattice="-2.6550 -2.4876 0.2881 1.2745 -1.9114 -4.7593 4.2492 -1.3247 4.6040" Properties=species:S:1:pos:R:3 pbc="T T T"
Tb 2.6215 -2.8657 -0.5853
Tb -0.7976 -2.0386 -1.8349
Tb 0.0318 -2.5349 1.5225
Cu 1.1723 -1.7582 -4.3778
```

=====

No. 8
Density functional theory data (PBE-GGA) for crystalline Tb7Cu3 at its relaxed geometry.

Results
raw total energy	-45.796	eV/f.u.
space group	No. 186

The structure in extended XYZ format:
```
20
Lattice="6.1829 0.0000 0.0000 0.0000 8.5566 -4.9401 0.0000 0.0000 9.8803" Properties=species:S:1:pos:R:3 pbc="T T T"
Cu 2.2608 6.9309 2.1243
Cu 5.3522 1.6257 2.8159
Cu 5.3522 5.3051 4.9401
Cu 2.2608 3.2515 0.0000
Cu 5.3522 1.6257 7.0644
Cu 2.2608 6.9309 -2.1243
Tb 2.6749 1.0950 1.8966
Tb 2.6749 6.3666 4.9402
Tb 0.8059 3.9543 6.8491
Tb 5.7663 7.4616 -3.0436
Tb 3.8974 7.9087 0.0000
Tb 3.8974 4.6023 -1.9090
Tb 0.7549 5.7044 0.0000
Tb 5.7663 2.1900 0.0000
Tb 3.8464 2.8522 4.9402
Tb 0.8059 3.9543 3.0312
Tb 3.8974 4.6023 1.9090
Tb 5.7663 7.4616 3.0435
Tb 0.8059 0.6479 4.9401
Tb 2.6749 1.0950 7.9837
```

=====

No. 9
Density functional theory data (PBE-GGA) for crystalline Tb2Cu17 at its relaxed geometry.

Results
raw total energy	-81.207	eV/f.u.
space group	No. 166

The structure in extended XYZ format:
```
19
Lattice="-3.3595 5.3960 -1.1737 -5.7968 -2.7776 -0.6796 -2.0929 0.9889 6.0351" Properties=species:S:1:pos:R:3 pbc="T T T"
Cu -5.5716 3.9456 0.8601
Cu -5.6777 -0.3383 3.3216
Cu -10.1465 3.2536 3.7718
Cu -2.4674 2.2920 3.9036
Cu -4.9384 1.7424 4.4638
Cu -4.7017 -1.6639 1.3058
Cu -2.8984 -1.3888 -0.3398
Cu -1.0465 0.4944 3.0175
Cu -4.0802 2.9792 -1.0276
Cu -6.3108 1.8648 -0.2820
Cu -1.1027 0.3536 0.4099
Cu -2.9850 4.0929 0.9578
Cu -1.6797 2.6980 -0.5868
Cu -5.0762 -0.3608 -0.8257
Cu -6.7900 -0.1405 1.1071
Cu -3.1881 -0.1248 4.0497
Cu -4.4592 3.7477 3.0747
Tb -7.4125 2.3769 2.7555
Tb -3.8368 1.2303 1.4263
```

=====

No. 10
Density functional theory data (PBE-GGA) for crystalline Tb4Cu at its relaxed geometry.

Results
raw total energy	-21.957	eV/f.u.
space group	No. 221

The structure in extended XYZ format:
```
5
Lattice="5.3900 0.0000 0.0000 0.0000 5.3900 0.0000 0.0000 0.0000 5.3900" Properties=species:S:1:pos:R:3 pbc="T T T"
Tb 2.6950 2.6950 0.0000
Tb 0.0000 2.6950 2.6950
Tb 2.6950 0.0000 2.6950
Tb 0.0000 0.0000 0.0000
Cu 2.6950 2.6950 2.6950
```

=====

No. 11
Density functional theory data (PBE-GGA) for crystalline Tb4Cu3Tc at its relaxed geometry.

Results
raw total energy	-42.475	eV/f.u.
space group	No. 123

The structure in extended XYZ format:
```
8
Lattice="-0.2491 2.6472 -2.2201 -3.0109 -1.2581 -1.1622 -6.8447 7.4571 9.6596" Properties=species:S:1:pos:R:3 pbc="T T T"
Tc -1.6300 0.6945 -1.6912
Tb -4.2880 4.6716 6.0514
Tb -2.5567 2.7855 3.6082
Tb -6.0267 6.5660 8.5052
Tb -0.8180 0.8912 1.1544
Cu -3.3386 2.5560 0.7201
Cu -5.0523 4.4231 3.1386
Cu -6.7661 6.2902 5.5572
```

=====

No. 12
Density functional theory data (PBE-GGA) for crystalline Tb2CuTc at its relaxed geometry.

Results
raw total energy	-21.080	eV/f.u.
space group	No. 166

The structure in extended XYZ format:
```
4
Lattice="-3.1234 0.0085 -0.4763 -1.5320 -2.7210 -0.4813 -3.0659 -1.8051 9.5932" Properties=species:S:1:pos:R:3 pbc="T T T"
Tb -2.6617 -1.5645 6.9466
Tb -5.0597 -2.9531 1.6889
Cu -3.8607 -2.2588 4.3178
Tc 0.0000 0.0000 0.0000
```

=====

no.,formation energy (eV/atom),V (Å³ per cell)
1,-0.191,283
2,-0.162,251
3,-0.110,372
4,0.110,116
5,0.106,169
6,-0.075,247
7,-0.054,107
8,-0.110,523
9,-0.122,264
10,0.132,157
11,-0.162,168
12,0.661,87